DFT (PBE-GGA) results for a geometry-optimized La2Rh2Au3 structure.

The calculation puts the density of states at the Fermi level at 7.7 states/eV/cell. The calculation puts the energy relative to the elements at -0.638 eV per atom.

It has space group C2/m (No. 12), with a = 9.7640 Å, b = 4.2756 Å, c = 7.2996 Å, α = 90.00°, β = 97.09° and γ = 90.00°. The inequivalent atoms are La at (0.1279, 0.0000, 0.3244), Rh at (0.0898, 0.5000, 0.6503), Au at (0.0000, 0.5000, 0.0000) and Au at (0.1880, 0.0000, 0.8846).